#i
Dy3Y3In2 | PBE | optimized geometry

Structure (CIF):
```
data_Dy3Y3In2
_cell_length_a 5.173
_cell_length_b 11.813
_cell_length_c 15.877
_cell_angle_alpha 90.00
_cell_angle_beta 90.00
_cell_angle_gamma 90.00
_symmetry_space_group_name_H-M 'C m c m'
_symmetry_Int_Tables_number 63
_symmetry_space_group_name_Hall '-C 2c 2'
loop_
_atom_site_label
_atom_site_fract_x
_atom_site_fract_y
_atom_site_fract_z
Dy1 0.000 0.039 0.250
Dy2 0.000 0.143 0.531
Y1 0.000 0.242 0.750
Y2 0.000 0.460 0.605
In1 0.000 0.273 0.142
```

***

#ii
Dy3Y3In2 | PBE | optimized geometry

Structure (CIF):
```
data_Dy3Y3In2
_cell_length_a 4.851
_cell_length_b 4.869
_cell_length_c 9.675
_cell_angle_alpha 90.00
_cell_angle_beta 90.00
_cell_angle_gamma 90.00
_symmetry_space_group_name_H-M 'P m m m'
_symmetry_Int_Tables_number 47
loop_
_symmetry_equiv_pos_as_xyz
'x,y,z'
'-x,-y,-z'
'-x,-y,z'
'x,y,-z'
'x,-y,-z'
'-x,y,z'
'-x,y,-z'
'x,-y,z'
loop_
_atom_site_label
_atom_site_fract_x
_atom_site_fract_y
_atom_site_fract_z
Dy1 0.000 0.000 0.000
Dy2 0.500 0.000 0.248
Y1 0.000 0.000 0.500
Y2 0.500 0.500 0.000
Y3 0.500 0.500 0.500
In1 0.000 0.500 0.250
```

***

Which of them is the least stable? Correct choice: #i.

***

#i
DyY3In | PBE | optimized geometry

Structure (CIF):
```
data_DyY3In
_cell_length_a 7.1327
_cell_length_b 7.1327
_cell_length_c 22.4000
_cell_angle_alpha 90.00
_cell_angle_beta 90.00
_cell_angle_gamma 120.00
_symmetry_space_group_name_H-M 'R -3 m'
_symmetry_Int_Tables_number 166
_symmetry_space_group_name_Hall '-R 3 2"'
loop_
_atom_site_label
_atom_site_fract_x
_atom_site_fract_y
_atom_site_fract_z
Dy1 0.0000 0.0000 0.0873
Y1 0.0039 0.5019 0.8922
In1 0.0000 0.0000 0.3338
```

***

#ii
DyY3In | PBE | optimized geometry

Structure (CIF):
```
data_DyY3In
_cell_length_a 4.843
_cell_length_b 25.147
_cell_length_c 4.839
_cell_angle_alpha 90.00
_cell_angle_beta 90.00
_cell_angle_gamma 90.00
_symmetry_space_group_name_H-M 'C m c m'
_symmetry_Int_Tables_number 63
_symmetry_space_group_name_Hall '-C 2c 2'
loop_
_atom_site_label
_atom_site_fract_x
_atom_site_fract_y
_atom_site_fract_z
Dy1 0.000 0.150 0.250
Y1 0.000 0.050 0.750
Y2 0.000 0.250 0.750
Y3 0.000 0.447 0.750
In1 0.000 0.348 0.250
```

***

Which of them is the least stable? Correct choice: #i.

***

#i
DyY6In | PBE | optimized geometry

Structure (CIF):
```
data_DyY6In
_cell_length_a 9.2341
_cell_length_b 9.2341
_cell_length_c 10.2022
_cell_angle_alpha 90.00
_cell_angle_beta 90.00
_cell_angle_gamma 120.00
_symmetry_space_group_name_H-M 'R -3'
_symmetry_Int_Tables_number 148
_symmetry_space_group_name_Hall '-R 3'
loop_
_atom_site_label
_atom_site_fract_x
_atom_site_fract_y
_atom_site_fract_z
Dy1 0.0000 0.0000 0.0000
Y1 0.0199 0.7630 0.7214
In1 0.0000 0.0000 0.5000
```

***

#ii
DyY6In | PBE | optimized geometry

Structure (CIF):
```
data_DyY6In
_cell_length_a 4.921
_cell_length_b 4.921
_cell_length_c 10.083
_cell_angle_alpha 90.00
_cell_angle_beta 90.00
_cell_angle_gamma 90.00
_symmetry_space_group_name_H-M 'P 4/m m m'
_symmetry_Int_Tables_number 123
_symmetry_space_group_name_Hall '-P 4 2'
loop_
_atom_site_label
_atom_site_fract_x
_atom_site_fract_y
_atom_site_fract_z
Dy1 0.000 0.000 0.000
Y1 0.000 0.500 0.256
Y2 0.500 0.500 0.000
Y3 0.500 0.500 0.500
In1 0.000 0.000 0.500
```

***

Which of them is the least stable? Correct choice: #i.